Density functional theory data (PBE-GGA) for a relaxed structure of RbCo2AuCl8.

Calculated values
raw formation energy	-15.86	kcal/mol of atoms
crystal system	trigonal

a = 6.3894 Å, b = 6.3894 Å, c = 28.4326 Å
α = 90.00°, β = 90.00°, γ = 120.00°
Space group R-3 (No. 148, hexagonal axes)
Symmetry-distinct sites (fractional):
1 Rb 0.0000 0.0000 0.0000 (multiplicity 3)
2 Co 0.0000 0.0000 0.2456 (multiplicity 6)
3 Au 0.0000 0.0000 0.5000 (multiplicity 3)
4 Cl 0.0000 0.0000 0.3223 (multiplicity 6)
5 Cl 0.0019 0.6730 0.7781 (multiplicity 18)